Record 1
A plane-wave DFT calculation with GGA-PBE was carried out for Cs12Pt3O5 after structural relaxation.

abc: 16.1378 16.1378 16.1378
angles: 109.47 109.47 109.47
Last column: nearest neighbours and their distance in Å.
Fractional coordinates of all 80 atoms:
Cs  0.0257  0.2047  0.1210  2 O 2.78-3.02
Cs  0.0257  0.3210  0.9047  2 O 2.78-3.02
Cs  0.0836  0.7047  0.6790  2 O 2.78-3.02
Cs  0.0836  0.8790  0.4047  2 O 2.78-3.02
Cs  0.0953  0.6210  0.4164  2 O 2.78-3.02
Cs  0.0953  0.9743  0.6790  2 O 2.78-3.02
Cs  0.1210  0.0257  0.2047  2 O 2.78-3.02
Cs  0.1210  0.5953  0.9164  2 O 2.78-3.02
Cs  0.1790  0.2047  0.5836  2 O 2.78-3.02
Cs  0.1790  0.4743  0.5953  2 O 2.78-3.02
Cs  0.2047  0.1210  0.0257  2 O 2.78-3.02
Cs  0.2047  0.5836  0.1790  2 O 2.78-3.02
Cs  0.2953  0.3210  0.9164  2 O 2.78-3.02
Cs  0.2953  0.4743  0.3790  2 O 2.78-3.02
Cs  0.3210  0.9047  0.0257  2 O 2.78-3.02
Cs  0.3210  0.9164  0.2953  2 O 2.78-3.02
Cs  0.3790  0.2953  0.4743  2 O 2.78-3.02
Cs  0.3790  0.5836  0.9047  2 O 2.78-3.02
Cs  0.4047  0.0836  0.8790  2 O 2.78-3.02
Cs  0.4047  0.8210  0.5257  2 O 2.78-3.02
Cs  0.4164  0.0953  0.6210  2 O 2.78-3.02
Cs  0.4164  0.8210  0.7953  2 O 2.78-3.02
Cs  0.4743  0.3790  0.2953  2 O 2.78-3.02
Cs  0.4743  0.5953  0.1790  2 O 2.78-3.02
Cs  0.5257  0.4047  0.8210  2 O 2.78-3.02
Cs  0.5257  0.6210  0.7047  2 O 2.78-3.02
Cs  0.5836  0.1790  0.2047  2 O 2.78-3.02
Cs  0.5836  0.9047  0.3790  2 O 2.78-3.02
Cs  0.5953  0.1790  0.4743  2 O 2.78-3.02
Cs  0.5953  0.9164  0.1210  2 O 2.78-3.02
Cs  0.6210  0.4164  0.0953  2 O 2.78-3.02
Cs  0.6210  0.7047  0.5257  2 O 2.78-3.02
Cs  0.6790  0.0836  0.7047  2 O 2.78-3.02
Cs  0.6790  0.0953  0.9743  2 O 2.78-3.02
Cs  0.7047  0.5257  0.6210  2 O 2.78-3.02
Cs  0.7047  0.6790  0.0836  2 O 2.78-3.02
Cs  0.7953  0.4164  0.8210  2 O 2.78-3.02
Cs  0.7953  0.8790  0.9743  2 O 2.78-3.02
Cs  0.8210  0.5257  0.4047  2 O 2.78-3.02
Cs  0.8210  0.7953  0.4164  2 O 2.78-3.02
Cs  0.8790  0.4047  0.0836  2 O 2.78-3.02
Cs  0.8790  0.9743  0.7953  2 O 2.78-3.02
Cs  0.9047  0.0257  0.3210  2 O 2.78-3.02
Cs  0.9047  0.3790  0.5836  2 O 2.78-3.02
Cs  0.9164  0.1210  0.5953  2 O 2.78-3.02
Cs  0.9164  0.2953  0.3210  2 O 2.78-3.02
Cs  0.9743  0.6790  0.0953  2 O 2.78-3.02
Cs  0.9743  0.7953  0.8790  2 O 2.78-3.02
Pt  0.1250  0.2500  0.3750  8 Cs 3.57-3.71
Pt  0.1250  0.3750  0.7500  8 Cs 3.57-3.71
Pt  0.2500  0.3750  0.1250  8 Cs 3.57-3.71
Pt  0.2500  0.8750  0.6250  8 Cs 3.57-3.71
Pt  0.3750  0.1250  0.2500  8 Cs 3.57-3.71
Pt  0.3750  0.7500  0.1250  8 Cs 3.57-3.71
Pt  0.6250  0.2500  0.8750  8 Cs 3.57-3.71
Pt  0.6250  0.8750  0.7500  8 Cs 3.57-3.71
Pt  0.7500  0.1250  0.3750  8 Cs 3.57-3.71
Pt  0.7500  0.6250  0.8750  8 Cs 3.57-3.71
Pt  0.8750  0.6250  0.2500  8 Cs 3.57-3.71
Pt  0.8750  0.7500  0.6250  8 Cs 3.57-3.71
O  0.0000  0.0000  0.0000  6 Cs 3.02
O  0.0000  0.0000  0.5000  6 Cs 3.02
O  0.0000  0.5000  0.0000  6 Cs 3.02
O  0.0000  0.5000  0.5000  6 Cs 3.02
O  0.1250  0.7500  0.8750  4 Cs 2.78
O  0.1250  0.8750  0.2500  4 Cs 2.78
O  0.2500  0.1250  0.8750  4 Cs 2.78
O  0.2500  0.6250  0.3750  4 Cs 2.78
O  0.3750  0.2500  0.6250  4 Cs 2.78
O  0.3750  0.6250  0.7500  4 Cs 2.78
O  0.5000  0.0000  0.0000  6 Cs 3.02
O  0.5000  0.0000  0.5000  6 Cs 3.02
O  0.5000  0.5000  0.0000  6 Cs 3.02
O  0.5000  0.5000  0.5000  6 Cs 3.02
O  0.6250  0.3750  0.2500  4 Cs 2.78
O  0.6250  0.7500  0.3750  4 Cs 2.78
O  0.7500  0.3750  0.6250  4 Cs 2.78
O  0.7500  0.8750  0.1250  4 Cs 2.78
O  0.8750  0.1250  0.7500  4 Cs 2.78
O  0.8750  0.2500  0.1250  4 Cs 2.78

Summary:
- E_form (uncorrected): -0.46 eV/atom
- Theoretical density: 4.64 g/cm³

=====

Record 2
A plane-wave DFT calculation with GGA-PBE was carried out for RbSnRuO2 after structural relaxation.

abc: 4.2530 4.2530 6.7822
angles: 90.00 90.00 90.00
Last column: nearest neighbours and their distance in Å.
Fractional coordinates of all 5 atoms:
Rb  0.0000  0.0000  0.0000  4 O 2.13
Sn  0.0000  0.0000  0.5000  4 Ru 3.01
Ru  0.5000  0.5000  0.5000  4 Sn 3.01
O  0.0000  0.5000  0.0000  2 Rb 2.13
O  0.5000  0.0000  0.0000  2 Rb 2.13

Summary:
- E_form (uncorrected): 1.39 eV/atom
- Theoretical density: 4.56 g/cm³